KVI2Br: optimized geometry, PBE-GGA.

Calculated values
Uncorrected formation energy ... -4.1 eV/f.u.
SG ... P4/mmm
Energy ... -0.2813 Ry per atom
DOS(E_F) ... 0.3100 states/eV per atom

Cell lengths 5.7513, 5.7513, 5.2562 Å; angles 90.00, 90.00, 90.00 degrees
Sites, in units of the cell vectors:
K1 0.0000 0.0000 0.0000
V1 0.5000 0.5000 0.5000
I1 0.0000 0.5000 0.5000
I2 0.5000 0.0000 0.5000
Br1 0.5000 0.5000 0.0000